An optimized crystal structure of CdAsP2O. Source: Alexandria, functional PBE-GGA.

Cell and atoms, written as CIF:
```
data_CdAsP2O
_cell_length_a 5.020
_cell_length_b 5.020
_cell_length_c 3.965
_cell_angle_alpha 90.00
_cell_angle_beta 90.00
_cell_angle_gamma 90.00
_symmetry_space_group_name_H-M 'P 4/m m m'
_symmetry_Int_Tables_number 123
_symmetry_space_group_name_Hall '-P 4 2'
loop_
_atom_site_label
_atom_site_type_symbol
_atom_site_fract_x
_atom_site_fract_y
_atom_site_fract_z
Cd1 Cd 0.000 0.000 0.000
As1 As 0.500 0.500 0.500
P1 P 0.000 0.500 0.000
O1 O 0.000 0.000 0.500
```

ΔE to the lowest computed polymorph = 647.3 meV/atom
Volume = 99.9 Å³ per cell
Total energy = -3.320 eV per atom
Total magnetic moment = 0.000 μB per cell
Formation energy from raw total energies = 0.95 eV/atom
Theoretical density = 4.4 g/cm3

=====

An optimized crystal structure of Li2Ca2In. Source: Alexandria, functional PBE-GGA.

Cell and atoms, written as CIF:
```
data_Li2Ca2In
_cell_length_a 7.625
_cell_length_b 7.625
_cell_length_c 4.635
_cell_angle_alpha 90.00
_cell_angle_beta 90.00
_cell_angle_gamma 90.00
_symmetry_space_group_name_H-M 'P 4/m b m'
_symmetry_Int_Tables_number 127
_symmetry_space_group_name_Hall '-P 4 2ab'
loop_
_atom_site_label
_atom_site_type_symbol
_atom_site_fract_x
_atom_site_fract_y
_atom_site_fract_z
Li1 Li 0.127 0.373 0.000
Ca1 Ca 0.189 0.689 0.500
In1 In 0.000 0.000 0.000
```

ΔE to the lowest computed polymorph = 70.1 meV/atom
Volume = 269.5 Å³ per cell
Total energy = -2.271 eV per atom
Total magnetic moment = 0.000 μB per cell
Energy relative to the elements = -0.79 eV per formula unit
Theoretical density = 2.6 g/cm3

=====

An optimized crystal structure of AlH12N3F6. Source: Alexandria, functional PBE-GGA.

Cell and atoms, written as CIF:
```
data_AlH12N3F6
_cell_length_a 9.122
_cell_length_b 8.760
_cell_length_c 9.028
_cell_angle_alpha 90.00
_cell_angle_beta 90.00
_cell_angle_gamma 90.00
_symmetry_space_group_name_H-M 'A e a 2'
_symmetry_Int_Tables_number 41
_symmetry_space_group_name_Hall 'A 2 -2ab'
loop_
_atom_site_label
_atom_site_type_symbol
_atom_site_fract_x
_atom_site_fract_y
_atom_site_fract_z
Al1 Al 0.000 0.000 0.000
H1 H 0.007 0.098 0.440
H2 H 0.092 0.497 0.068
H3 H 0.163 0.315 0.715
H4 H 0.167 0.311 0.294
H5 H 0.213 0.175 0.838
H6 H 0.217 0.180 0.162
N1 N 0.000 0.000 0.502
N2 N 0.248 0.246 0.752
F1 F 0.000 0.000 0.201
F2 F 0.000 0.000 0.797
F3 F 0.057 0.301 0.494
F4 F 0.195 0.064 0.002
```

Volume = 721.4 Å³ per cell
Total energy = -5.059 eV per atom
Total magnetic moment = 0.658 μB per cell
Theoretical density = 1.8 g/cm3

=====

An optimized crystal structure of GaNi3As. Source: Alexandria, functional PBE-GGA.

Cell and atoms, written as CIF:
```
data_GaNi3As
_cell_length_a 6.936
_cell_length_b 4.789
_cell_length_c 8.744
_cell_angle_alpha 90.00
_cell_angle_beta 116.04
_cell_angle_gamma 90.00
_symmetry_space_group_name_H-M 'P 1 21/c 1'
_symmetry_Int_Tables_number 14
_symmetry_space_group_name_Hall '-P 2ybc'
loop_
_atom_site_label
_atom_site_type_symbol
_atom_site_fract_x
_atom_site_fract_y
_atom_site_fract_z
Ga1 Ga 0.150 0.234 0.079
Ni1 Ni 0.017 0.573 0.217
Ni2 Ni 0.243 0.739 0.035
Ni3 Ni 0.356 0.194 0.916
As1 As 0.353 0.678 0.822
```

ΔE to the lowest computed polymorph = 3.5 meV/atom
Volume = 261.0 Å³ per cell
Total energy = -5.260 eV per atom
Total magnetic moment = 0.000 μB per cell
Energy relative to the elements = -1.28 eV per formula unit
Theoretical density = 8.2 g/cm3

=====

What did the first record say?
An optimized crystal structure of CdAsP2O. Source: Alexandria, functional PBE-GGA.

Cell and atoms, written as CIF:
```
data_CdAsP2O
_cell_length_a 5.020
_cell_length_b 5.020
_cell_length_c 3.965
_cell_angle_alpha 90.00
_cell_angle_beta 90.00
_cell_angle_gamma 90.00
_symmetry_space_group_name_H-M 'P 4/m m m'
_symmetry_Int_Tables_number 123
_symmetry_space_group_name_Hall '-P 4 2'
loop_
_atom_site_label
_atom_site_type_symbol
_atom_site_fract_x
_atom_site_fract_y
_atom_site_fract_z
Cd1 Cd 0.000 0.000 0.000
As1 As 0.500 0.500 0.500
P1 P 0.000 0.500 0.000
O1 O 0.000 0.000 0.500
```

ΔE to the lowest computed polymorph = 647.3 meV/atom
Volume = 99.9 Å³ per cell
Total energy = -3.320 eV per atom
Total magnetic moment = 0.000 μB per cell
Formation energy from raw total energies = 0.95 eV/atom
Theoretical density = 4.4 g/cm3